[1]
A crystal of LiBiTe2N relaxed with PBEsol. Source: Alexandria via LeMat-Bulk, functional meta-GGA SCAN.

extended XYZ file:
```
5
Lattice="-1.251 -3.593 0.151 4.407 -1.425 2.607 -2.403 1.032 4.627" Properties=species:S:1:pos:R:3 pbc="T T T"
N -0.625 -1.796 0.076
Li 0.000 0.000 0.000
Te -1.202 0.516 2.313
Te 2.203 -0.712 1.303
Bi 0.376 -1.993 3.692
```

Results
calculated density = 7.49 g cm⁻³
volume = 21.507 Å³ per atom
symmetry = P4/mmm, No. 123
energy relative to the elements, uncorrected = 0.65 eV/atom

[2]
A crystal of TlCd5 relaxed with PBEsol. Source: Alexandria via LeMat-Bulk, functional meta-GGA SCAN.

extended XYZ file:
```
6
Lattice="-0.838 -4.105 4.011 4.483 -3.143 1.914 1.987 0.768 5.394" Properties=species:S:1:pos:R:3 pbc="T T T"
Cd 2.527 -4.431 4.380
Cd 1.282 -2.480 6.117
Cd 3.519 -4.048 7.071
Cd 1.408 -1.620 2.830
Cd 3.937 -2.000 5.070
Tl 0.000 0.000 0.000
```

Results
calculated density = 9.23 g cm⁻³
volume = 22.991 Å³ per atom
symmetry = F-43m, No. 216
DFT formation energy = 86 meV per atom

[3]
A crystal of Li2CoSiO4 relaxed with PBEsol. Source: Alexandria via LeMat-Bulk, functional meta-GGA SCAN.

extended XYZ file:
```
32
Lattice="5.023 0.000 0.000 0.000 6.218 0.000 0.000 0.000 10.638" Properties=species:S:1:pos:R:3 pbc="T T T"
O 1.508 5.395 0.606
O 1.004 5.395 5.925
O 3.998 0.938 7.030
O 1.812 2.302 6.277
O 1.030 0.537 3.607
O 3.542 3.646 1.712
O 1.481 0.537 8.926
O 3.536 0.938 1.711
O 1.487 4.047 8.927
O 3.993 3.646 7.030
O 4.019 2.286 4.713
O 0.700 2.302 0.958
O 3.515 2.286 10.032
O 1.025 4.047 3.608
O 3.211 5.410 4.361
O 4.323 5.410 9.680
Li 1.025 2.302 4.512
Li 3.468 3.862 8.898
Li 3.998 5.411 6.126
Li 1.555 0.753 1.740
Li 3.536 5.411 0.807
Li 1.487 2.302 9.831
Li 4.067 3.862 3.579
Li 0.956 0.753 7.059
Si 3.461 2.294 6.255
Si 0.950 5.403 9.702
Si 4.073 2.294 0.936
Si 1.562 5.403 4.383
Co 0.939 3.842 7.088
Co 3.451 0.733 8.869
Co 4.084 0.733 3.550
Co 1.572 3.842 1.769
```

Results
calculated density = 3.30 g cm⁻³
volume = 10.382 Å³ per atom
symmetry = Pna2_1, No. 33
energy relative to the elements, uncorrected = -2.38 eV/atom

[4]
A crystal of NaLa3In relaxed with PBEsol. Source: Alexandria via LeMat-Bulk, functional meta-GGA SCAN.

extended XYZ file:
```
5
Lattice="6.054 0.000 0.000 0.000 6.054 0.000 0.000 0.000 6.054" Properties=species:S:1:pos:R:3 pbc="T T T"
In 0.000 0.000 0.000
La 0.000 3.027 0.000
La 3.027 0.000 0.000
La 0.000 0.000 3.027
Na 3.027 3.027 3.027
```

Results
calculated density = 4.15 g cm⁻³
volume = 44.386 Å³ per atom
symmetry = Pm-3m, No. 221
DFT formation energy = 195 meV per atom

[5]
A crystal of AgAsRh relaxed with PBEsol. Source: Alexandria via LeMat-Bulk, functional meta-GGA SCAN.

extended XYZ file:
```
3
Lattice="4.254 0.000 0.000 2.127 3.684 0.000 2.127 1.228 3.474" Properties=species:S:1:pos:R:3 pbc="T T T"
As 0.000 0.000 0.000
Ag 2.127 1.228 0.868
Rh 4.254 2.456 1.737
```

Results
calculated density = 8.71 g cm⁻³
volume = 18.151 Å³ per atom
symmetry = F-43m, No. 216
DFT formation energy = 547 meV per atom

[6]
A crystal of MnIn2P relaxed with PBEsol. Source: Alexandria via LeMat-Bulk, functional meta-GGA SCAN.

extended XYZ file:
```
4
Lattice="-1.902 0.431 3.520 -2.419 -3.078 -0.931 5.153 -1.625 0.684" Properties=species:S:1:pos:R:3 pbc="T T T"
Mn -2.161 -1.324 1.295
In 0.545 -1.259 2.749
In 0.287 -3.014 0.524
P 0.000 0.000 0.000
```

Results
calculated density = 6.97 g cm⁻³
volume = 18.797 Å³ per atom
symmetry = I4/mmm, No. 139
DFT formation energy = 213 meV per atom

[7]
A crystal of CeGe2Ru2 relaxed with PBEsol. Source: Alexandria via LeMat-Bulk, functional meta-GGA SCAN.

extended XYZ file:
```
5
Lattice="4.218 0.000 0.000 0.000 4.218 0.000 -2.109 -2.109 4.929" Properties=species:S:1:pos:R:3 pbc="T T T"
Ge 0.000 0.000 3.652
Ge 2.109 2.109 1.277
Ce 0.000 0.000 0.000
Ru 0.000 2.109 2.464
Ru 2.109 0.000 2.464
```

Results
calculated density = 9.23 g cm⁻³
volume = 17.536 Å³ per atom
symmetry = I4/mmm, No. 139
DFT formation energy = -781 meV per atom

[8]
A crystal of Ba3Nb5O15 relaxed with PBEsol. Source: Alexandria via LeMat-Bulk, functional meta-GGA SCAN.

extended XYZ file:
```
46
Lattice="4.008 0.000 0.000 0.000 12.687 0.000 0.000 0.000 12.687" Properties=species:S:1:pos:R:3 pbc="T T T"
Nb 2.004 9.993 11.695
Nb 2.004 2.694 0.992
Nb 2.004 0.000 6.343
Nb 2.004 6.343 0.000
Nb 2.004 5.351 3.649
Nb 2.004 0.992 9.993
Nb 2.004 11.695 2.694
Nb 2.004 9.037 5.351
Nb 2.004 3.649 7.335
Nb 2.004 7.335 9.037
O 0.000 8.982 5.336
O 0.000 3.705 7.351
O 0.000 0.000 6.343
O 2.004 10.919 0.849
O 2.004 9.869 3.526
O 2.004 9.161 9.869
O 0.000 2.638 1.008
O 2.004 10.692 6.438
O 0.000 1.008 10.048
O 2.004 0.095 4.348
O 0.000 6.343 0.000
O 2.004 8.339 0.095
O 2.004 8.111 7.193
O 2.004 11.837 10.919
O 2.004 6.249 10.692
O 2.004 6.438 1.995
O 2.004 1.995 6.249
O 2.004 0.849 1.768
O 0.000 7.351 8.982
O 2.004 2.817 9.161
O 2.004 4.576 5.494
O 0.000 10.048 11.679
O 2.004 5.494 8.111
O 2.004 12.592 8.339
O 0.000 11.679 2.638
O 2.004 4.348 12.592
O 2.004 1.768 11.837
O 0.000 5.336 3.705
O 2.004 7.193 4.576
O 2.004 3.526 2.817
Ba 0.000 0.000 0.000
Ba 0.000 8.468 2.125
Ba 0.000 2.125 4.218
Ba 0.000 10.562 8.468
Ba 0.000 6.343 6.343
Ba 0.000 4.218 10.562
```

Results
calculated density = 5.75 g cm⁻³
volume = 14.023 Å³ per atom
symmetry = P4/mbm, No. 127
energy relative to the elements, uncorrected = -2.99 eV/atom